(1)
# PBE Rb2In2Pt, relaxed
data_Rb2In2Pt
_chemical_formula_sum 'Rb4 In4 Pt2'
_symmetry_space_group_name_H-M 'P 4/m b m'
_symmetry_Int_Tables_number 127
_symmetry_space_group_name_Hall '-P 4 2ab'
_cell_length_a 7.251
_cell_length_b 7.251
_cell_length_c 6.309
_cell_angle_alpha 90.00
_cell_angle_beta 90.00
_cell_angle_gamma 90.00
loop_
_atom_site_label
_atom_site_fract_x
_atom_site_fract_y
_atom_site_fract_z
Rb1 0.182 0.318 0.000
In1 0.156 0.656 0.500
Pt1 0.000 0.000 0.500
# Energy above the lowest structure with this stoichiometry, eV/atom: 0.134

(2)
VASP calculation (PBE) on a relaxed Rb2In2Pt3 crystal.

CIF file:
```
data_Rb2In2Pt3
_chemical_formula_sum 'Rb4 In4 Pt6'
_symmetry_space_group_name_H-M 'C 1 2/m 1'
_symmetry_Int_Tables_number 12
_cell_length_a 13.549
_cell_length_b 4.574
_cell_length_c 8.075
_cell_angle_alpha 90.00
_cell_angle_beta 123.28
_cell_angle_gamma 90.00
loop_
_symmetry_equiv_pos_as_xyz
'x,y,z'
'-x,-y,-z'
'-x,y,-z'
'x,-y,z'
'x+1/2,y+1/2,z'
'-x+1/2,-y+1/2,-z'
'-x+1/2,y+1/2,-z'
'x+1/2,-y+1/2,z'
loop_
_atom_site_label
_atom_site_fract_x
_atom_site_fract_y
_atom_site_fract_z
Rb1 0.141 0.000 0.242
In1 0.110 0.000 0.711
Pt1 0.000 0.500 0.500
Pt2 0.182 0.500 0.916
```

It is found that the calculated total energy values, taken in the order of the records, are -28.0; -54.8 eV for the cell shown.
It is found that the ΔE_f values, taken in the order of the records, are -0.105; -0.265 eV/atom.